1.
{"formula": "Np5Ge3", "functional": "PBE-GGA", "state": "relaxed", "lattice": [[-5.7379, 5.7379, 2.6329], [5.7379, -5.7379, 2.6329], [5.7379, 5.7379, -2.6329]], "species": ["Np", "Np", "Np", "Np", "Np", "Np", "Np", "Np", "Np", "Np", "Ge", "Ge", "Ge", "Ge", "Ge", "Ge"], "fractional_positions": [[0.0770, 0.7717, 0.8486], [0.2283, 0.0770, 0.3053], [0.2500, 0.7500, 0.5000], [0.2717, 0.5770, 0.8486], [0.4230, 0.2717, 0.6947], [0.5770, 0.7283, 0.3053], [0.7283, 0.4230, 0.1514], [0.7500, 0.2500, 0.5000], [0.7717, 0.9230, 0.6947], [0.9230, 0.2283, 0.1514], [0.1662, 0.3338, 0.5000], [0.2500, 0.2500, 0.0000], [0.3338, 0.8338, 0.1677], [0.6662, 0.1662, 0.8323], [0.7500, 0.7500, 0.0000], [0.8338, 0.6662, 0.5000]], "delta_e_f_ev_per_fu": -0.37, "total_magnetization_mub_per_cell": 25.79, "mass_density_g_cm3": 13.4}


2.
{"formula": "Cu2Pt3", "functional": "PBE-GGA", "state": "relaxed", "lattice": [[1.3776, 0.7953, 10.9173], [-1.3776, 0.7953, 10.9173], [0.0000, -1.5907, 10.9173]], "species": ["Cu", "Cu", "Pt", "Pt", "Pt"], "fractional_positions": [[0.1012, 0.1012, 0.1012], [0.8988, 0.8988, 0.8988], [0.2968, 0.2968, 0.2968], [0.5000, 0.5000, 0.5000], [0.7032, 0.7032, 0.7032]], "delta_e_f_ev_per_fu": -0.84, "total_magnetization_mub_per_cell": 0.00, "mass_density_g_cm3": 16.5}


3.
{"formula": "EuCdIn4", "functional": "PBE-GGA", "state": "relaxed", "lattice": [[0.0000, 4.3870, 4.3870], [4.3870, 0.0000, 4.3870], [4.3870, 4.3870, 0.0000]], "species": ["Eu", "Cd", "In", "In", "In", "In"], "fractional_positions": [[0.0000, 0.0000, 0.0000], [0.2500, 0.2500, 0.2500], [0.1253, 0.6249, 0.6249], [0.6249, 0.1253, 0.6249], [0.6249, 0.6249, 0.1253], [0.6249, 0.6249, 0.6249]], "delta_e_f_ev_per_fu": -0.88, "total_magnetization_mub_per_cell": 7.18, "mass_density_g_cm3": 7.1}


4.
{"formula": "Th4Tl", "functional": "PBE-GGA", "state": "relaxed", "lattice": [[5.8548, 0.0000, 0.0000], [0.0000, 5.8548, 0.0000], [0.0000, 0.0000, 5.8548]], "species": ["Th", "Th", "Th", "Th", "Tl"], "fractional_positions": [[0.0000, 0.0000, 0.0000], [0.0000, 0.5000, 0.5000], [0.5000, 0.0000, 0.5000], [0.5000, 0.5000, 0.0000], [0.5000, 0.5000, 0.5000]], "delta_e_f_ev_per_fu": 4.56, "total_magnetization_mub_per_cell": 0.00, "mass_density_g_cm3": 9.4}


5.
{"formula": "Cd5Pt2", "functional": "PBE-GGA", "state": "relaxed", "lattice": [[-3.5395, 6.7626, 2.9183], [3.5395, -6.7626, 2.9183], [3.5395, 6.7626, -2.9183]], "species": ["Cd", "Cd", "Cd", "Cd", "Cd", "Cd", "Cd", "Cd", "Cd", "Cd", "Pt", "Pt", "Pt", "Pt"], "fractional_positions": [[0.0145, 0.2500, 0.7645], [0.0840, 0.6570, 0.7410], [0.2500, 0.2500, 0.0000], [0.4160, 0.1570, 0.5730], [0.4855, 0.2500, 0.2355], [0.5145, 0.7500, 0.7645], [0.5840, 0.8430, 0.4270], [0.7500, 0.7500, 0.0000], [0.9160, 0.3430, 0.2590], [0.9855, 0.7500, 0.2355], [0.1218, 0.2675, 0.3892], [0.3782, 0.7675, 0.1457], [0.6218, 0.2325, 0.8543], [0.8782, 0.7325, 0.6108]], "delta_e_f_ev_per_fu": -1.72, "total_magnetization_mub_per_cell": 0.00, "mass_density_g_cm3": 11.3}


6.
{"formula": "Cu2TcI", "functional": "PBE-GGA", "state": "relaxed", "lattice": [[3.7498, 0.0000, 0.0000], [-1.8720, 4.3471, 0.0000], [-0.3782, -0.2222, 10.6060]], "species": ["Cu", "Cu", "Cu", "Cu", "Tc", "Tc", "I", "I"], "fractional_positions": [[0.0000, 0.0000, 0.0000], [0.1848, 0.3055, 0.3018], [0.4082, 0.8437, 0.8635], [0.5973, 0.1641, 0.1463], [0.3011, 0.5850, 0.0829], [0.8928, 0.7404, 0.2124], [0.1038, 0.2525, 0.7734], [0.4404, 0.7954, 0.4404]], "total_magnetization_mub_per_cell": 0.00, "formation_energy_uncorrected_ev_per_atom": 0.2668, "mass_density_g_cm3": 6.8}


7.
{"formula": "CSe2Cl", "functional": "PBE-GGA", "state": "relaxed", "lattice": [[2.3297, 1.3451, 6.9608], [-2.3297, 1.3451, 6.9608], [0.0000, -2.6901, 6.9608]], "species": ["C", "Se", "Se", "Cl"], "fractional_positions": [[0.0000, 0.0000, 0.0000], [0.0821, 0.0821, 0.0821], [0.9179, 0.9179, 0.9179], [0.5000, 0.5000, 0.5000]], "total_magnetization_mub_per_cell": 0.00, "formation_energy_uncorrected_ev_per_atom": 0.5862, "mass_density_g_cm3": 2.6}


8.
{"formula": "ZrHg3Ru", "functional": "PBE-GGA", "state": "relaxed", "lattice": [[5.0826, 0.0000, 0.0000], [0.0000, 5.0826, 0.0000], [0.0000, 0.0000, 5.0826]], "species": ["Zr", "Hg", "Hg", "Hg", "Ru"], "fractional_positions": [[0.0000, 0.0000, 0.0000], [0.0000, 0.5000, 0.5000], [0.5000, 0.0000, 0.5000], [0.5000, 0.5000, 0.0000], [0.5000, 0.5000, 0.5000]], "delta_e_f_ev_per_fu": 4.63, "total_magnetization_mub_per_cell": 0.00, "mass_density_g_cm3": 10.0}